No. 1
The following is a GGA-PBE calculation of a relaxed structure of NaCaB, from the Alexandria database.

Cell lengths 3.2402, 5.2618, 9.1970 Å; angles 90.98, 91.12, 107.21 degrees
Fractional coordinates of all 6 atoms:
Na 0.0000 0.0000 0.0000
Na 0.2577 0.5109 0.7900
Ca 0.4904 0.0029 0.5225
Ca 0.7257 0.4894 0.2467
B 0.2279 0.4757 0.5005
B 0.7587 0.5369 0.5259

**E**: -3.29 eV/atom
**Density of states at the Fermi level**: 0.532 states/eV per atom
**ΔH_f (0 K)**: 0.0435 eV/atom

No. 2
The following is a GGA-PBE calculation of a relaxed structure of NaCaNiB2, from the Alexandria database.

Cell lengths 4.6436, 4.6436, 5.0599 Å; angles 90.00, 90.00, 90.00 degrees
Fractional coordinates of all 5 atoms:
Na 0.0000 0.0000 0.0000
Ca 0.0000 0.0000 0.5000
Ni 0.5000 0.5000 0.0000
B 0.0000 0.5000 0.5000
B 0.5000 0.0000 0.5000

**E**: -2.20 eV/atom
**Density of states at the Fermi level**: 1.086 states/eV per atom
**ΔH_f (0 K)**: 2.2864 eV/atom

No. 3
The following is a GGA-PBE calculation of a relaxed structure of NaCaNi2B, from the Alexandria database.

Cell lengths 4.5334, 4.5334, 4.4914 Å; angles 90.00, 90.00, 90.00 degrees
Fractional coordinates of all 5 atoms:
Na 0.0000 0.0000 0.0000
Ca 0.5000 0.5000 0.5000
Ni 0.0000 0.5000 0.0000
Ni 0.5000 0.0000 0.0000
B 0.0000 0.0000 0.5000

**E**: -2.94 eV/atom
**Density of states at the Fermi level**: 0.761 states/eV per atom
**ΔH_f (0 K)**: 1.3702 eV/atom

No. 4
The following is a GGA-PBE calculation of a relaxed structure of NaCa2B2O6, from the Alexandria database.

Cell lengths 5.2556, 5.4705, 6.1428 Å; angles 114.39, 97.52, 110.43 degrees
Fractional coordinates of all 11 atoms:
Na 0.0000 0.0000 0.0000
Ca 0.2641 0.3973 0.6563
Ca 0.7359 0.6027 0.3437
B 0.2752 0.7269 0.2526
B 0.7248 0.2731 0.7474
O 0.1520 0.9191 0.3177
O 0.2328 0.5199 0.3356
O 0.4412 0.7341 0.0947
O 0.5588 0.2659 0.9053
O 0.7672 0.4801 0.6644
O 0.8480 0.0809 0.6823

**E**: -6.89 eV/atom
**Density of states at the Fermi level**: 0.087 states/eV per atom
**Formation energy (no corrections)**: -2.48 eV per atom

No. 5
The following is a GGA-PBE calculation of a relaxed structure of NaCaBO3, from the Alexandria database.

Cell lengths 5.3758, 5.3758, 6.3907 Å; angles 90.00, 90.00, 120.00 degrees
Fractional coordinates of all 12 atoms:
Na 0.3333 0.6667 0.2500
Na 0.6667 0.3333 0.7500
Ca 0.0000 0.0000 0.0000
Ca 0.0000 0.0000 0.5000
B 0.3333 0.6667 0.7500
B 0.6667 0.3333 0.2500
O 0.1843 0.3685 0.7500
O 0.1843 0.8157 0.7500
O 0.3685 0.1843 0.2500
O 0.6315 0.8157 0.7500
O 0.8157 0.1843 0.2500
O 0.8157 0.6315 0.2500

**E**: -6.67 eV/atom
**Density of states at the Fermi level**: 0.000 states/eV per atom
**Formation energy (no corrections)**: -2.53 eV per atom

No. 6
The following is a GGA-PBE calculation of a relaxed structure of Na3CaB5O10, from the Alexandria database.

Cell lengths 7.5035, 9.8289, 13.0863 Å; angles 91.10, 90.45, 109.21 degrees
Fractional coordinates of all 76 atoms:
Na 0.0053 0.2642 0.2291
Na 0.1169 0.0410 0.6107
Na 0.1855 0.6690 0.5204
Na 0.3146 0.3117 0.9996
Na 0.3703 0.9449 0.8906
Na 0.4933 0.2336 0.7398
Na 0.5067 0.7664 0.2602
Na 0.6297 0.0551 0.1094
Na 0.6854 0.6883 0.0004
Na 0.8145 0.3310 0.4796
Na 0.8831 0.9590 0.3893
Na 0.9947 0.7358 0.7709
Ca 0.0255 0.3898 0.7331
Ca 0.4987 0.6313 0.7572
Ca 0.5013 0.3687 0.2428
Ca 0.9745 0.6102 0.2669
B 0.0826 0.1128 0.8636
B 0.1640 0.7767 0.0771
B 0.1935 0.4041 0.4141
B 0.2139 0.6282 0.9258
B 0.2459 0.9344 0.3831
B 0.2530 0.0423 0.1257
B 0.2786 0.5599 0.0996
B 0.3223 0.3676 0.5819
B 0.3354 0.2012 0.4335
B 0.4260 0.9036 0.6488
B 0.5740 0.0964 0.3512
B 0.6646 0.7988 0.5665
B 0.6777 0.6324 0.4181
B 0.7214 0.4401 0.9004
B 0.7470 0.9577 0.8743
B 0.7541 0.0656 0.6169
B 0.7861 0.3718 0.0742
B 0.8065 0.5959 0.5859
B 0.8360 0.2233 0.9229
B 0.9174 0.8872 0.1364
O 0.0235 0.2334 0.8833
O 0.0620 0.0230 0.1498
O 0.0793 0.4616 0.3662
O 0.1137 0.8036 0.3777
O 0.1471 0.7325 0.9676
O 0.1996 0.5966 0.8251
O 0.2056 0.0515 0.4284
O 0.2282 0.6747 0.1409
O 0.2500 0.8849 0.6758
O 0.2531 0.2943 0.3718
O 0.2534 0.4505 0.5155
O 0.2657 0.1310 0.8588
O 0.2983 0.9234 0.0876
O 0.3008 0.5555 0.9920
O 0.3085 0.4583 0.1556
O 0.3387 0.4014 0.6825
O 0.3606 0.2483 0.5423
O 0.3882 0.1709 0.1355
O 0.4298 0.9594 0.3457
O 0.4799 0.7860 0.6123
O 0.5201 0.2140 0.3877
O 0.5702 0.0406 0.6543
O 0.6118 0.8291 0.8645
O 0.6394 0.7517 0.4577
O 0.6613 0.5986 0.3175
O 0.6915 0.5417 0.8444
O 0.6992 0.4445 0.0080
O 0.7017 0.0766 0.9124
O 0.7343 0.8690 0.1412
O 0.7466 0.5495 0.4845
O 0.7469 0.7057 0.6282
O 0.7500 0.1151 0.3242
O 0.7718 0.3253 0.8591
O 0.7944 0.9485 0.5716
O 0.8004 0.4034 0.1749
O 0.8529 0.2675 0.0324
O 0.8863 0.1964 0.6223
O 0.9207 0.5384 0.6338
O 0.9380 0.9770 0.8502
O 0.9765 0.7666 0.1167

**E**: -7.13 eV/atom
**Density of states at the Fermi level**: 0.000 states/eV per atom
**Formation energy (no corrections)**: -2.45 eV per atom

No. 7
The following is a GGA-PBE calculation of a relaxed structure of NaCaB2O4, from the Alexandria database.

Cell lengths 5.3424, 5.7257, 6.0793 Å; angles 90.00, 90.00, 90.00 degrees
Fractional coordinates of all 16 atoms:
Na 0.0000 0.0000 0.0000
Na 0.5000 0.5000 0.5000
Ca 0.0000 0.0000 0.5000
Ca 0.5000 0.5000 0.0000
B 0.0000 0.5000 0.3298
B 0.0000 0.5000 0.6702
B 0.5000 0.0000 0.1702
B 0.5000 0.0000 0.8298
O 0.1768 0.3557 0.2590
O 0.1768 0.6443 0.7410
O 0.3232 0.1443 0.7590
O 0.3232 0.8557 0.2410
O 0.6768 0.1443 0.2410
O 0.6768 0.8557 0.7590
O 0.8232 0.3557 0.7410
O 0.8232 0.6443 0.2590

**E**: -6.68 eV/atom
**Density of states at the Fermi level**: 0.142 states/eV per atom
**Formation energy (no corrections)**: -2.12 eV per atom

No. 8
The following is a GGA-PBE calculation of a relaxed structure of NaCa4B3O9, from the Alexandria database.

Cell lengths 10.7772, 6.5489, 6.5489 Å; angles 120.22, 90.00, 90.00 degrees
Fractional coordinates of all 34 atoms:
Na 0.2500 0.0717 0.9283
Na 0.7500 0.9283 0.0717
Ca 0.0000 0.4254 0.4254
Ca 0.0283 0.8513 0.2793
Ca 0.2500 0.5483 0.8482
Ca 0.4717 0.8513 0.2793
Ca 0.5000 0.4254 0.4254
Ca 0.5283 0.2793 0.8513
Ca 0.7500 0.8482 0.5483
Ca 0.9717 0.2793 0.8513
B 0.0000 0.8495 0.8495
B 0.2500 0.1003 0.4448
B 0.2500 0.5342 0.2919
B 0.5000 0.8495 0.8495
B 0.7500 0.2919 0.5342
B 0.7500 0.4448 0.1003
O 0.0000 0.0607 0.0607
O 0.0286 0.6413 0.8474
O 0.1389 0.1877 0.5685
O 0.1391 0.4817 0.1598
O 0.2500 0.6184 0.5301
O 0.2500 0.9285 0.2085
O 0.3611 0.1877 0.5685
O 0.3609 0.4817 0.1598
O 0.4714 0.6413 0.8474
O 0.5000 0.0607 0.0607
O 0.5286 0.8474 0.6413
O 0.6391 0.1598 0.4817
O 0.6389 0.5685 0.1877
O 0.7500 0.2085 0.9285
O 0.7500 0.5301 0.6184
O 0.8609 0.1598 0.4817
O 0.8611 0.5685 0.1877
O 0.9714 0.8474 0.6413

**E**: -7.13 eV/atom
**Density of states at the Fermi level**: 0.000 states/eV per atom
**Formation energy (no corrections)**: -2.78 eV per atom